No. 1
# KPAuCl2

KPAuCl2 at its PBEsol-relaxed geometry (meta-GGA SCAN, Alexandria via LeMat-Bulk).

Summary:
energy relative to the elements, uncorrected = 660 meV/atom

a b c (Å): 5.513 5.513 5.807
angles (deg): 90.00 90.00 90.00
Atoms (fractional coordinates):
Au 0.500 0.500 0.500
Cl 0.500 0.000 0.000
Cl 0.000 0.500 0.000
P 0.000 0.000 0.500
K 0.000 0.000 0.000



No. 2
# ErSn2

ErSn2 at its PBEsol-relaxed geometry (meta-GGA SCAN, Alexandria via LeMat-Bulk).

Summary:
formation energy from the elements = -0.6355 eV per atom

a b c (Å): 4.268 4.340 8.249
angles (deg): 74.75 90.00 90.00
Atoms (fractional coordinates):
Er 0.250 0.098 0.804
Er 0.750 0.902 0.196
Sn 0.750 0.565 0.870
Sn 0.250 0.749 0.502
Sn 0.250 0.435 0.130
Sn 0.750 0.251 0.498



No. 3
# SiRh2Cl

SiRh2Cl at its PBEsol-relaxed geometry (meta-GGA SCAN, Alexandria via LeMat-Bulk).

Summary:
energy relative to the elements, uncorrected = 100 meV/atom
offset from the most stable computed form = 519 meV per atom

a b c (Å): 2.969 2.969 7.712
angles (deg): 78.90 78.90 60.00
Atoms (fractional coordinates):
Cl 0.755 0.755 0.736
Rh 0.239 0.239 0.282
Rh 0.002 0.002 0.993
Si 0.504 0.504 0.488



No. 4
# MgSb4Au

MgSb4Au at its PBEsol-relaxed geometry (meta-GGA SCAN, Alexandria via LeMat-Bulk).

Summary:
energy relative to the elements, uncorrected = 400 meV/atom

a b c (Å): 6.089 6.089 6.089
angles (deg): 60.00 60.00 60.00
Atoms (fractional coordinates):
Sb 0.376 0.376 0.376
Sb 0.376 0.872 0.376
Sb 0.872 0.376 0.376
Sb 0.376 0.376 0.872
Au 0.750 0.750 0.750
Mg 0.000 0.000 0.000



No. 5
# TaNi2Ru

TaNi2Ru at its PBEsol-relaxed geometry (meta-GGA SCAN, Alexandria via LeMat-Bulk).

Summary:
offset from the most stable computed form = 556 meV per atom
formation energy from the elements = 0.2221 eV per atom

a b c (Å): 2.670 2.670 8.649
angles (deg): 81.12 81.12 60.00
Atoms (fractional coordinates):
Ta 0.000 0.000 0.000
Ru 0.500 0.500 0.500
Ni 0.247 0.247 0.259
Ni 0.753 0.753 0.741



No. 6
# ScHg2Os

ScHg2Os at its PBEsol-relaxed geometry (meta-GGA SCAN, Alexandria via LeMat-Bulk).

Summary:
offset from the most stable computed form = 196 meV per atom
formation energy from the elements = 0.2402 eV per atom

a b c (Å): 4.686 4.686 4.686
angles (deg): 60.00 60.00 60.00
Atoms (fractional coordinates):
Os 0.500 0.500 0.500
Sc 0.250 0.250 0.250
Hg 0.000 0.000 0.000
Hg 0.750 0.750 0.750



No. 7
# Al4Ag

Al4Ag at its PBEsol-relaxed geometry (meta-GGA SCAN, Alexandria via LeMat-Bulk).

Summary:
offset from the most stable computed form = 11 meV per atom
formation energy from the elements = -0.0203 eV per atom

a b c (Å): 2.881 2.881 9.962
angles (deg): 98.31 98.31 90.00
Atoms (fractional coordinates):
Ag 0.000 0.000 0.000
Al 0.199 0.199 0.399
Al 0.401 0.401 0.802
Al 0.599 0.599 0.198
Al 0.801 0.801 0.601



No. 8
# As2PbO4

As2PbO4 at its PBEsol-relaxed geometry (meta-GGA SCAN, Alexandria via LeMat-Bulk).

Summary:
energy relative to the elements, uncorrected = -1328 meV/atom

a b c (Å): 6.078 7.038 11.718
angles (deg): 90.00 90.00 111.22
Atoms (fractional coordinates):
O 0.523 0.300 0.971
O 0.288 0.696 0.233
O 0.751 0.045 0.917
O 0.977 0.700 0.471
O 0.251 0.045 0.583
O 0.249 0.955 0.083
O 0.023 0.300 0.529
O 0.981 0.311 0.300
O 0.481 0.311 0.200
O 0.749 0.955 0.417
O 0.519 0.689 0.800
O 0.788 0.696 0.267
O 0.212 0.304 0.733
O 0.477 0.700 0.029
O 0.712 0.304 0.767
O 0.019 0.689 0.700
As 0.291 0.224 0.081
As 0.791 0.224 0.419
As 0.709 0.776 0.919
As 0.011 0.119 0.645
As 0.511 0.119 0.855
As 0.489 0.881 0.145
As 0.209 0.776 0.581
As 0.989 0.881 0.355
Pb 0.903 0.492 0.149
Pb 0.597 0.508 0.649
Pb 0.097 0.508 0.851
Pb 0.403 0.492 0.351



No. 9
# ZnNiIr2

ZnNiIr2 at its PBEsol-relaxed geometry (meta-GGA SCAN, Alexandria via LeMat-Bulk).

Summary:
formation energy from the elements = -0.1016 eV per atom

a b c (Å): 2.682 4.476 4.641
angles (deg): 100.05 90.00 107.43
Atoms (fractional coordinates):
Ir 0.754 0.507 0.757
Ir 0.246 0.493 0.243
Zn 0.000 0.000 0.500
Ni 0.500 0.000 0.000



No. 10
# RbAu

RbAu at its PBEsol-relaxed geometry (meta-GGA SCAN, Alexandria via LeMat-Bulk).

Summary:
formation energy from the elements = -0.4059 eV per atom

a b c (Å): 4.790 4.796 6.449
angles (deg): 90.00 111.80 90.00
Atoms (fractional coordinates):
Rb 0.644 0.750 0.288
Rb 0.356 0.250 0.712
Au 0.940 0.750 0.881
Au 0.060 0.250 0.119



No. 11
# YScBr3

YScBr3 at its PBEsol-relaxed geometry (meta-GGA SCAN, Alexandria via LeMat-Bulk).

Summary:
energy relative to the elements, uncorrected = -882 meV/atom

a b c (Å): 5.466 5.466 5.466
angles (deg): 90.00 90.00 90.00
Atoms (fractional coordinates):
Br 0.000 0.500 0.000
Br 0.500 0.000 0.000
Br 0.000 0.000 0.500
Sc 0.500 0.500 0.500
Y 0.000 0.000 0.000



No. 12
# TeMo2W

TeMo2W at its PBEsol-relaxed geometry (meta-GGA SCAN, Alexandria via LeMat-Bulk).

Summary:
energy relative to the elements, uncorrected = 500 meV/atom

a b c (Å): 3.076 4.152 5.310
angles (deg): 90.00 90.00 90.00
Atoms (fractional coordinates):
Mo 0.000 0.000 0.727
Mo 0.000 0.000 0.273
W 0.500 0.500 0.500
Te 0.500 0.500 0.000



No. 13
# BeMo2Os

BeMo2Os at its PBEsol-relaxed geometry (meta-GGA SCAN, Alexandria via LeMat-Bulk).

Summary:
formation energy from the elements = 0.0259 eV per atom

a b c (Å): 3.072 3.072 5.678
angles (deg): 90.00 90.00 90.00
Atoms (fractional coordinates):
Be 0.500 0.500 0.738
Mo 0.500 0.500 0.243
Mo 0.000 0.000 0.984
Os 0.000 0.000 0.536



No. 14
# PPtSe2

PPtSe2 at its PBEsol-relaxed geometry (meta-GGA SCAN, Alexandria via LeMat-Bulk).

Summary:
energy relative to the elements, uncorrected = 159 meV/atom

a b c (Å): 3.484 4.246 5.874
angles (deg): 111.19 107.25 90.00
Atoms (fractional coordinates):
Pt 0.252 0.752 0.504
Se 0.726 0.226 0.453
Se 0.931 0.931 0.862
P 0.590 0.590 0.181



No. 15
# ReHPt3

ReHPt3 at its PBEsol-relaxed geometry (meta-GGA SCAN, Alexandria via LeMat-Bulk).

Summary:
DFT total energy = -283.08 eV per formula unit

a b c (Å): 3.962 3.962 3.962
angles (deg): 90.00 90.00 90.00
Atoms (fractional coordinates):
H 0.000 0.000 0.000
Pt 0.000 0.000 0.500
Pt 0.000 0.500 0.000
Pt 0.500 0.000 0.000
Re 0.500 0.500 0.500



No. 16
# MgZrSc2

MgZrSc2 at its PBEsol-relaxed geometry (meta-GGA SCAN, Alexandria via LeMat-Bulk).

Summary:
formation energy from the elements = 0.0613 eV per atom

a b c (Å): 3.135 5.493 5.618
angles (deg): 101.08 90.00 106.58
Atoms (fractional coordinates):
Zr 0.000 0.000 0.500
Mg 0.500 0.000 0.000
Sc 0.250 0.499 0.262
Sc 0.750 0.501 0.738



No. 17
# Li2ZnNi

Li2ZnNi at its PBEsol-relaxed geometry (meta-GGA SCAN, Alexandria via LeMat-Bulk).

Summary:
formation energy from the elements = -0.0843 eV per atom

a b c (Å): 3.494 3.494 4.043
angles (deg): 90.00 90.00 90.00
Atoms (fractional coordinates):
Zn 0.000 0.000 0.500
Ni 0.500 0.500 0.500
Li 0.000 0.500 0.000
Li 0.500 0.000 0.000



No. 18
# Ba2SbRuI

Ba2SbRuI at its PBEsol-relaxed geometry (meta-GGA SCAN, Alexandria via LeMat-Bulk).

Summary:
energy relative to the elements, uncorrected = -435 meV/atom

a b c (Å): 4.821 6.543 6.543
angles (deg): 90.00 90.00 90.00
Atoms (fractional coordinates):
Ba 0.000 0.500 0.000
Ba 0.000 0.000 0.500
Sb 0.000 0.000 0.000
I 0.500 0.500 0.500
Ru 0.500 0.000 0.000



No. 19
# PrAl20Cr2

PrAl20Cr2 at its PBEsol-relaxed geometry (meta-GGA SCAN, Alexandria via LeMat-Bulk).

Summary:
formation energy from the elements = -0.1842 eV per atom

a b c (Å): 10.166 10.166 10.166
angles (deg): 60.00 60.00 60.00
Atoms (fractional coordinates):
Al 0.068 0.797 0.797
Al 0.636 0.636 0.364
Al 0.636 0.364 0.364
Al 0.125 0.125 0.125
Al 0.337 0.797 0.797
Al 0.886 0.614 0.886
Al 0.068 0.797 0.337
Al 0.913 0.453 0.453
Al 0.913 0.182 0.453
Al 0.182 0.453 0.453
Al 0.182 0.913 0.453
Al 0.182 0.453 0.913
Al 0.453 0.453 0.913
Al 0.453 0.182 0.913
Al 0.636 0.364 0.636
Al 0.453 0.913 0.453
Al 0.886 0.886 0.614
Al 0.453 0.913 0.182
Al 0.364 0.636 0.636
Al 0.364 0.636 0.364
Al 0.797 0.337 0.797
Al 0.797 0.068 0.337
Al 0.797 0.797 0.068
Al 0.797 0.068 0.797
Al 0.364 0.364 0.636
Al 0.797 0.337 0.068
Al 0.886 0.614 0.614
Al 0.614 0.886 0.614
Al 0.614 0.886 0.886
Al 0.337 0.797 0.068
Al 0.125 0.625 0.125
Al 0.337 0.068 0.797
Al 0.453 0.182 0.453
Al 0.797 0.797 0.337
Al 0.625 0.125 0.125
Al 0.453 0.453 0.182
Al 0.913 0.453 0.182
Al 0.068 0.337 0.797
Al 0.614 0.614 0.886
Al 0.125 0.125 0.625
Pr 0.000 0.000 0.000
Pr 0.250 0.250 0.250
Cr 0.125 0.625 0.625
Cr 0.625 0.625 0.625
Cr 0.625 0.125 0.625
Cr 0.625 0.625 0.125



No. 20
# CoMoPdS2

CoMoPdS2 at its PBEsol-relaxed geometry (meta-GGA SCAN, Alexandria via LeMat-Bulk).

Summary:
energy relative to the elements, uncorrected = 745 meV/atom

a b c (Å): 4.189 4.189 4.602
angles (deg): 90.00 90.00 90.00
Atoms (fractional coordinates):
Pd 0.000 0.000 0.500
S 0.500 0.000 0.000
S 0.000 0.500 0.000
Mo 0.500 0.500 0.500
Co 0.000 0.000 0.000



no.,magnetic moment (μB/f.u.)
1,3.05
2,0.00
3,0.00
4,0.00
5,0.00
6,0.00
7,0.00
8,0.00
9,1.14
10,0.00
11,2.63
12,0.00
13,0.00
14,0.00
15,1.51
16,0.16
17,0.00
18,1.28
19,3.88
20,2.44